PBE LiPu2Au4, relaxed; D(E_F) = 16.69 states/eV/f.u.; energy of formation = -0.366 eV/atom; total moment = 11.782 μB per formula unit
1.0
4.4770 0.0000 -1.4271
-0.4549 4.4538 -1.4271
-0.0177 -0.0196 7.6803
Au Li Pu
4 1 2
direct
0.8979 0.3979 0.7959
0.1021 0.6021 0.2041
0.6021 0.1021 0.2041
0.3979 0.8979 0.7959
0.0000 0.0000 0.0000
0.7443 0.7443 0.4886
0.2557 0.2557 0.5114

***

PBE LiPuAu2, relaxed; D(E_F) = 9.95 states/eV/f.u.; energy of formation = -0.409 eV/atom; total moment = 6.003 μB per formula unit
1.0
-2.3368 -0.8762 -1.8165
3.2745 -0.2831 -4.0759
0.9904 -5.0126 1.1438
Li Au Pu
1 2 1
direct
0.5000 0.0000 0.0000
0.0000 0.0000 0.5000
0.0000 0.5000 0.0000
0.5000 0.5000 0.5000

***

PBE LiPu2Au6, relaxed; D(E_F) = 28.38 states/eV/f.u.; energy of formation = -0.361 eV/atom; energy above the lowest structure with this stoichiometry = 46 meV per atom; total moment = 11.235 μB per formula unit
1.0
5.7354 -0.0215 -0.0125
0.0258 6.1343 0.0090
0.0258 3.0640 5.3143
Au Pu Li
6 2 1
direct
0.3081 0.3510 0.8246
0.3079 0.8243 0.8243
0.3081 0.8246 0.3510
0.6919 0.1754 0.6490
0.6919 0.6490 0.1754
0.6921 0.1757 0.1757
0.8413 0.6666 0.6666
0.1587 0.3334 0.3334
0.0000 0.0000 0.0000

***

PBE Li3PuAu4, relaxed; D(E_F) = 16.56 states/eV/f.u.; energy of formation = -0.487 eV/atom; total moment = 5.819 μB per formula unit
1.0
-4.1486 0.4808 -1.6574
-3.0332 -3.2684 0.5535
-4.8905 2.6202 6.9109
Li Au Pu
3 4 1
direct
0.7638 0.7638 0.7086
0.5000 0.5000 0.5000
0.2362 0.2362 0.2914
0.3965 0.3965 0.8104
0.6035 0.6035 0.1896
0.1277 0.1277 0.6170
0.8723 0.8723 0.3830
0.0000 0.0000 0.0000

***

PBE LiPu2Au6, relaxed; D(E_F) = 20.39 states/eV/f.u.; energy of formation = -0.407 eV/atom; energy above the lowest structure with this stoichiometry = 0 meV per atom; total moment = 11.614 μB per formula unit
1.0
3.0047 0.0003 0.0015
0.0029 7.3166 4.2073
0.0014 0.0146 8.4400
Pu Au Li
2 6 1
direct
0.0000 0.3333 0.3333
0.0000 0.6667 0.6667
0.4992 0.0000 0.6713
0.5000 0.3287 0.6713
0.4992 0.6713 0.0000
0.5008 0.3287 0.0000
0.5000 0.6713 0.3287
0.5008 0.0000 0.3287
0.0000 0.0000 0.0000

***

PBE LiPu2Au7, relaxed; D(E_F) = 40.98 states/eV/f.u.; energy of formation = 0.010 eV/atom; total moment = 11.837 μB per formula unit
1.0
-4.3110 5.3712 0.3551
-6.1206 -0.2758 -3.1659
-5.7885 -0.4646 3.7199
Au Li Pu
7 1 2
direct
0.5000 0.5000 0.5000
0.2311 0.2311 0.7689
0.7689 0.2311 0.7689
0.2311 0.7689 0.2311
0.2311 0.7689 0.7689
0.7689 0.7689 0.2311
0.7689 0.2311 0.2311
0.0000 0.0000 0.0000
0.2500 0.2500 0.2500
0.7500 0.7500 0.7500

***

PBE LiPuAu6, relaxed; D(E_F) = 16.89 states/eV/f.u.; energy of formation = -0.327 eV/atom; total moment = 5.404 μB per formula unit
1.0
-2.1256 -3.6058 2.3921
2.5416 -3.3704 -2.8218
4.7045 0.0211 4.2121
Au Pu Li
6 1 1
direct
0.5000 0.8273 0.7273
0.5000 0.2909 0.0000
0.0000 0.1832 0.2711
0.0000 0.1832 0.7289
0.0000 0.6721 0.5000
0.5000 0.8273 0.2727
0.0000 0.6808 0.0000
0.5000 0.3353 0.5000

***

PBE Li3Pu2Au4, relaxed; D(E_F) = 26.57 states/eV/f.u.; energy of formation = -0.415 eV/atom; total moment = 12.140 μB per formula unit
1.0
5.8632 0.0000 0.0000
0.0000 7.8007 0.0000
-2.9316 0.0000 7.7874
Au Pu Li
8 4 6
direct
0.6975 0.7500 0.8950
0.1846 0.9658 0.3693
0.3154 0.4658 0.6307
0.3025 0.2500 0.1050
0.8025 0.2500 0.1050
0.1975 0.7500 0.8950
0.6846 0.5342 0.3693
0.8154 0.0342 0.6307
0.3907 0.0912 0.7814
0.1093 0.5912 0.2186
0.6093 0.9088 0.2186
0.8907 0.4088 0.7814
0.5000 0.5000 0.0000
0.4697 0.2500 0.4393
0.0303 0.7500 0.5607
0.5303 0.7500 0.5607
0.0000 0.0000 0.0000
0.9697 0.2500 0.4393